(1)
Material: FeTe2Pb
Method: DFT, PBE-GGA
State: optimized geometry

Cell: 3.764 5.198 5.331 Å, 90.00 90.00 90.00°
Space group Pmmm (No. 47)
Symmetry-distinct sites (fractional):
Fe 0.000 0.000 0.000
Te 0.000 0.500 0.500
Te 0.500 0.500 0.000
Pb 0.500 0.000 0.500

The formation energy (no corrections) is 0.577 eV/atom. For the total magnetic moment, the calculation gives 3.259 μB per formula unit. The raw total energy comes out at -4.037 eV per atom.

=====

(2)
Material: Y5Co
Method: DFT, PBE-GGA
State: optimized geometry

Cell: 8.994 8.994 8.994 Å, 90.00 90.00 90.00°
Space group F-43m (No. 216)
Symmetry-distinct sites (fractional):
Y 0.000 0.000 0.000
Y 0.125 0.125 0.375
Co 0.250 0.250 0.750

For the total magnetic moment, the calculation gives 1.693 μB per formula unit. The raw total energy comes out at -5.871 eV per atom. The formation energy comes out at 4.2 eV/f.u.

=====

(3)
Material: BaPtO3
Method: DFT, PBE-GGA
State: optimized geometry

Cell: 5.8406 5.8406 10.1910 Å, 90.00 90.00 120.00°
Space group P6_3/mmc (No. 194)
Symmetry-distinct sites (fractional):
Ba 0.0000 0.0000 0.0000
Ba 0.3333 0.6667 0.2500
Pt 0.3333 0.6667 0.6148
O 0.0000 0.5000 0.0000
O 0.1843 0.3687 0.7500

The formation energy (no corrections) is -1.382 eV/atom. For the total magnetic moment, the calculation gives 0.000 μB per formula unit. The raw total energy comes out at -5.949 eV per atom.

=====

| no. | volume (Å³ per atom) |
| --- | --- |
| 1 | 26.079 |
| 2 | 30.311 |
| 3 | 15.053 |